The following is a DFT calculation (PBE) of an optimized crystal structure of Tb4Cd2Au.

The value obtained for the volume is 28.17 A^3/atom. The calculation puts the mass density at 8.90 g/cm³. For the formation energy, the calculation gives -1.947 eV/f.u. The density of states at the Fermi level is 7.6 states/eV/f.u.

The structure belongs to space group R-3m (No. 166, hexagonal axes); the cell edges are 5.1967, 5.1967 and 25.2963 Å and the angles 90.00°, 90.00° and 120.00°. The asymmetric unit holds Tb at (0.0000, 0.0000, 0.1243), Tb at (0.0000, 0.0000, 0.3753), Cd at (0.0000, 0.0000, 0.2474) and Au at (0.0000, 0.0000, 0.0000).

The following is a DFT calculation (PBE) of an optimized crystal structure of Tb3CdAu4.

The value obtained for the volume is 22.62 A^3/atom. The calculation puts the mass density at 12.63 g/cm³. For the formation energy, the calculation gives -5.895 eV/f.u. The density of states at the Fermi level is 4.0 states/eV/f.u.

The structure belongs to space group P4/mmm (No. 123); the cell edges are 4.9952, 4.9952 and 7.2536 Å and the angles 90.00°, 90.00° and 90.00°. The asymmetric unit holds Tb at (0.0000, 0.0000, 0.0000), Tb at (0.0000, 0.0000, 0.5000), Tb at (0.5000, 0.5000, 0.0000), Cd at (0.5000, 0.5000, 0.5000) and Au at (0.0000, 0.5000, 0.2462).

Number 2 is which compound? Tb3CdAu4